Record 1
Computed, not measured: a PBEsol-optimized structure of Zr2InMo at the meta-GGA SCAN level of DFT.

## Properties
DOS at the Fermi energy (states/eV/f.u.): 4.06
Uncorrected energy (eV per atom): -32.53
Energy relative to the elements (eV per formula unit): -0.47
V (Å³ per cell): 80

Geometry as POSCAR:
```
Zr2InMo
1.0
-2.393 1.628 0.903
-0.940 -2.274 -1.771
-0.879 -5.389 7.388
In Mo Zr
1 1 2
Cartesian
-2.106 -3.017 3.260
-1.667 -0.323 -0.434
-0.199 -1.217 1.668
-0.681 -4.173 5.720
```

---

Record 2
Computed, not measured: a PBEsol-optimized structure of CaLa2Al at the meta-GGA SCAN level of DFT.

## Properties
DOS at the Fermi energy (states/eV/f.u.): 4.02
Uncorrected energy (eV per atom): -26.06
Energy relative to the elements (eV per formula unit): -0.62
V (Å³ per cell): 129

Geometry as POSCAR:
```
CaLa2Al
1.0
3.632 0.000 0.000
0.000 3.632 0.000
0.000 0.000 9.795
Ca Al La
1 1 2
Cartesian
1.816 1.816 4.898
1.816 1.816 0.000
0.000 0.000 7.870
0.000 0.000 1.926
```

---

Record 3
Computed, not measured: a PBEsol-optimized structure of TiHS2Cl at the meta-GGA SCAN level of DFT.

## Properties
DOS at the Fermi energy (states/eV/f.u.): 2.57
Uncorrected energy (eV per atom): -9.26
V (Å³ per cell): 68

Geometry as POSCAR:
```
TiHS2Cl
1.0
3.718 0.000 0.000
0.000 3.718 0.000
0.000 0.000 4.939
H S Cl Ti
1 2 1 1
Cartesian
0.000 0.000 0.000
0.000 1.859 0.000
1.859 0.000 0.000
0.000 0.000 2.469
1.859 1.859 2.469
```

---

Record 4
Computed, not measured: a PBEsol-optimized structure of Te2IrCl2 at the meta-GGA SCAN level of DFT.

## Properties
DOS at the Fermi energy (states/eV/f.u.): 2.78
ΔE_f (raw) (meV/atom): 958
Uncorrected energy (eV per atom): -31.35
V (Å³ per cell): 143

Geometry as POSCAR:
```
Te2IrCl2
1.0
3.894 0.000 0.000
0.000 3.894 0.000
-1.947 -1.947 9.459
Ir Te Cl
1 2 2
Cartesian
0.000 0.000 0.000
0.000 1.947 4.730
1.947 0.000 4.730
0.000 0.000 8.004
1.947 1.947 1.455
```

---

Record 5
Computed, not measured: a PBEsol-optimized structure of CrIrCl at the meta-GGA SCAN level of DFT.

## Properties
DOS at the Fermi energy (states/eV/f.u.): 2.70
ΔE_f (raw) (meV/atom): 1135
Uncorrected energy (eV per atom): -31.35
V (Å³ per cell): 45
Energy above the most stable polymorph in this dataset (meV/atom): 1041

Geometry as POSCAR:
```
CrIrCl
1.0
3.998 0.000 0.000
1.999 3.462 0.000
1.999 1.154 3.264
Cr Ir Cl
1 1 1
Cartesian
0.000 0.000 0.000
3.998 2.308 1.632
1.999 1.154 0.816
```

---

Record 6
Computed, not measured: a PBEsol-optimized structure of TlCu at the meta-GGA SCAN level of DFT.

## Properties
DOS at the Fermi energy (states/eV/f.u.): 0.63
Uncorrected energy (eV per atom): -43.45
Energy relative to the elements (eV per formula unit): 0.66
V (Å³ per cell): 75

Geometry as POSCAR:
```
TlCu
1.0
-1.393 1.173 -2.458
-3.358 -2.840 0.549
-0.222 4.531 4.191
Cu Tl
2 2
Cartesian
-3.367 -0.923 1.468
-1.607 3.786 0.813
-2.092 0.667 -0.400
-2.882 2.197 2.681
```

---

Record 7
Computed, not measured: a PBEsol-optimized structure of Rb3NiO2 at the meta-GGA SCAN level of DFT.

## Properties
ΔE_f (raw) (meV/atom): -1152
Uncorrected energy (eV per atom): -16.29
V (Å³ per cell): 553

Geometry as POSCAR:
```
Rb3NiO2
1.0
-3.808 2.232 -4.364
-4.871 -1.104 3.685
1.270 13.151 5.619
Rb Ni O
12 4 8
Cartesian
-3.445 10.244 4.318
-3.963 4.036 0.622
0.157 6.638 2.772
-8.200 1.066 -0.641
-5.479 9.806 1.199
-2.249 1.174 2.331
-2.187 4.404 3.929
-4.905 13.152 2.411
-0.819 12.541 2.948
-6.271 5.037 3.401
-1.338 9.370 1.315
-6.387 1.632 2.225
-4.549 2.197 5.057
-4.304 0.559 -0.337
-2.860 12.082 -0.117
-3.739 7.144 2.467
-0.791 9.878 4.055
-6.653 4.029 0.726
-3.571 7.622 0.792
-3.239 12.861 6.798
-5.997 10.931 3.804
-1.376 3.720 1.295
-3.956 6.673 4.139
-4.052 1.403 -1.849
```

---

Record 8
Computed, not measured: a PBEsol-optimized structure of CoTe3As at the meta-GGA SCAN level of DFT.

## Properties
DOS at the Fermi energy (states/eV/f.u.): 4.66
ΔE_f (raw) (meV/atom): 991
Uncorrected energy (eV per atom): -28.86
V (Å³ per cell): 148

Geometry as POSCAR:
```
CoTe3As
1.0
5.285 0.000 0.000
0.000 5.285 0.000
0.000 0.000 5.285
As Te Co
1 3 1
Cartesian
0.000 0.000 0.000
0.000 2.643 0.000
0.000 0.000 2.643
2.643 0.000 0.000
2.643 2.643 2.643
```